Record 1
Computed, not measured: a relaxed structure of BeCoMo2 at the PBE level of DFT.

- Symmetry: No. 216

Cell lengths 4.198, 4.198, 4.198 Å; angles 60.00, 60.00, 60.00 degrees
Atoms (fractional coordinates):
Mo: 0.000 0.000 0.000
Mo: 0.250 0.250 0.250
Be: 0.500 0.500 0.500
Co: 0.750 0.750 0.750



Record 2
Computed, not measured: a relaxed structure of BeCoMo2 at the PBE level of DFT.

- Symmetry: No. 99

Cell lengths 2.669, 2.670, 7.001 Å; angles 90.00, 90.00, 90.02 degrees
Atoms (fractional coordinates):
Be: 0.000 0.000 0.541
Mo: 0.500 0.500 0.292
Co: 0.500 0.500 0.709
Mo: 0.000 0.000 0.959



Record 3
Computed, not measured: a relaxed structure of BeCo3Mo at the PBE level of DFT.

- Symmetry: No. 221

Cell lengths 3.827, 3.827, 3.827 Å; angles 90.00, 90.00, 90.00 degrees
Atoms (fractional coordinates):
Co: 0.000 0.500 0.000
Co: 0.000 0.000 0.500
Co: 0.500 0.000 0.000
Be: 0.000 0.000 0.000
Mo: 0.500 0.500 0.500



Record 4
Computed, not measured: a relaxed structure of BeCoMo2 at the PBE level of DFT.

- Symmetry: No. 47

Cell lengths 3.779, 3.713, 3.658 Å; angles 90.00, 90.00, 90.00 degrees
Atoms (fractional coordinates):
Be: 0.500 0.000 0.500
Co: 0.000 0.500 0.500
Mo: 0.000 0.000 0.000
Mo: 0.500 0.500 0.000



| no. | formation energy (eV per atom) |
| --- | --- |
| 1 | 0.213 |
| 2 | -0.055 |
| 3 | 0.435 |
| 4 | 0.100 |